The following is a GGA-PBE calculation of crystalline PaReAgO6 at its relaxed geometry, from Alexandria.

Values from the calculation:
energy = -8.007 eV/atom
E_form (uncorrected) = -187.77 kJ per mole of atoms
Fermi-level density of states = 5.4 states/eV per cell
ρ = 6.36 g/cm³

extended XYZ file:
```
18
Lattice="-3.6818 4.0374 5.4590 3.6818 -4.0374 5.4590 3.6818 4.0374 -5.4590" Properties=species:S:1:pos:R:3 pbc="T T T"
Pa 0.0000 0.0000 0.0000
Pa 0.0000 4.0374 0.0000
Re -1.8409 2.0187 2.7295
Re 1.8409 2.0187 2.7295
Ag 3.6818 2.0187 -2.3328
Ag 0.0000 2.0187 7.7918
O 3.6818 -2.0187 4.5304
O 1.5026 0.6527 1.4200
O 5.8609 0.6527 1.4200
O 1.5026 4.6901 -1.4200
O 2.1792 0.6527 4.0390
O 3.6818 2.0187 2.2897
O 0.0000 2.0187 3.1693
O 1.5026 3.3846 1.4200
O 2.1792 -0.6527 6.8790
O -2.1792 3.3846 4.0390
O 2.1792 3.3846 4.0390
O 0.0000 6.0560 0.9285
```